DFT (PBE) results for a relaxed Sm2Ho4Se9 crystal.

The calculation puts the total DFT energy (no corrections) at -5.7975 eV/atom. As for the total moment: 0.00 μB/atom. The density of states at the Fermi level is 0.000 states/eV/atom.

```
Sm2Ho4Se9
1.0
7.2369 0.0000 0.0000
3.6143 6.2721 0.0000
0.0117 -0.0046 19.5193
Sm Ho Se
4 8 18
Cartesian
0.0079 0.0082 2.9204
10.8549 6.2593 16.5989
3.6204 6.2589 6.8332
7.2424 0.0086 12.6862
3.6202 2.0895 15.9681
3.6145 2.0917 0.2672
3.6273 2.0874 6.2154
3.6282 2.0876 10.0162
7.2346 4.1799 9.5031
7.2355 4.1801 13.3039
7.2483 4.1758 19.2522
7.2426 4.1780 3.5512
1.1281 1.9374 4.8833
1.4442 2.1432 17.8921
2.4715 3.9425 8.1353
5.8567 6.2666 14.6419
4.7361 4.3287 4.8737
4.7737 3.9379 17.8874
2.5926 0.1573 8.1258
5.0520 4.1152 11.3954
6.2065 6.1006 1.6304
4.6563 0.1669 17.8889
5.8108 2.1523 8.1240
8.2702 6.1102 11.3935
6.0891 2.3296 1.6319
5.0061 0.0009 4.8775
6.1267 1.9388 14.6456
8.3914 2.3250 11.3841
9.4187 4.1243 1.6272
9.7348 4.3301 14.6360
```

***

DFT (PBE) results for a relaxed HfGaAu2 crystal.

Its formation energy is -0.095 eV/f.u. The calculation puts the total DFT energy (no corrections) at -4.9074 eV/atom. As for the total moment: 0.00 μB/atom. The density of states at the Fermi level is 0.622 states/eV/atom.

```
HfGaAu2
1.0
-1.4714 2.4436 5.4993
1.4714 -2.4436 5.4993
1.4714 2.4436 -5.4993
Hf Ga Au
1 1 2
Cartesian
0.0000 0.0000 0.0000
0.0000 0.0000 5.4993
0.0000 0.0000 2.8014
0.0000 0.0000 8.1972
```

***

DFT (PBE) results for a relaxed PrNd2Th4 crystal.

Its formation energy is 0.563 eV/f.u. The calculation puts the total DFT energy (no corrections) at -6.2044 eV/atom. As for the total moment: 0.00 μB/atom. The density of states at the Fermi level is 1.570 states/eV/atom.

```
PrNd2Th4
1.0
1.8020 -18.3725 0.0000
1.8020 18.3725 0.0000
0.0000 0.0000 3.5996
Pr Nd Th
1 2 4
Cartesian
0.0000 0.0000 0.0000
1.8020 7.5704 1.7998
1.8020 -7.5704 1.7998
1.8020 13.2925 0.0000
1.8020 2.6670 1.7998
1.8020 -2.6670 1.7998
1.8020 -13.2925 0.0000
```

***

DFT (PBE) results for a relaxed Bi3SeO3 crystal.

The calculation puts the total DFT energy (no corrections) at -5.1648 eV/atom. As for the total moment: 0.00 μB/atom. The density of states at the Fermi level is 0.323 states/eV/atom.

```
Bi3SeO3
1.0
3.4803 2.0093 7.0773
-3.4803 2.0093 7.0773
0.0000 -4.0187 7.0773
Bi Se O
6 2 6
Cartesian
-2.2036 -0.1144 8.6007
-1.0027 -1.9656 12.6312
1.2009 -1.8512 8.6007
-1.2009 1.8512 12.6312
1.0027 1.9656 8.6007
2.2036 0.1144 12.6312
0.0000 0.0000 3.5437
0.0000 0.0000 17.6882
-1.9298 0.1534 6.3259
0.8321 -1.7480 6.3259
-1.0977 -1.5946 14.9060
1.0977 1.5946 6.3259
-0.8321 1.7480 14.9060
1.9298 -0.1534 14.9060
```

***

DFT (PBE) results for a relaxed KLa2Ta crystal.

Its formation energy is 1.685 eV/f.u. The calculation puts the total DFT energy (no corrections) at -5.2800 eV/atom. As for the total moment: 0.00 μB/atom. The density of states at the Fermi level is 1.169 states/eV/atom. The calculation puts the energy above the lowest structure with this stoichiometry at 0.000 eV per atom.

```
KLa2Ta
1.0
3.4667 0.0000 0.0000
0.0000 3.4750 0.0000
-0.0241 0.0000 11.9018
K La Ta
1 2 1
Cartesian
0.0000 0.0000 0.0000
1.7198 1.7375 3.8321
1.7228 1.7375 8.0697
-0.0120 0.0000 5.9509
```

***

DFT (PBE) results for a relaxed CrMoSe2 crystal.

The calculation puts the total DFT energy (no corrections) at -6.4656 eV/atom. As for the total moment: 0.44 μB/atom. The density of states at the Fermi level is 0.916 states/eV/atom. The calculation puts the energy above the lowest structure with this stoichiometry at 0.681 eV per atom.

```
CrMoSe2
1.0
3.4631 0.0000 0.0000
0.0000 3.7400 0.0000
0.0000 0.0000 6.0311
Cr Mo Se
1 1 2
Cartesian
0.0000 0.0000 0.0000
1.7316 0.0000 3.0155
0.0000 1.8700 3.0155
1.7316 1.8700 0.0000
```

***

DFT (PBE) results for a relaxed CaScSi2 crystal.

The calculation puts the total DFT energy (no corrections) at -5.1233 eV/atom. As for the total moment: 0.03 μB/atom. The density of states at the Fermi level is 0.626 states/eV/atom. The calculation puts the energy above the lowest structure with this stoichiometry at 0.122 eV per atom.

```
CaScSi2
1.0
3.1568 -4.0514 0.0000
3.1568 4.0514 0.0000
-0.0090 0.0000 3.0674
Ca Sc Si
1 1 2
Cartesian
0.0000 0.0000 0.0000
3.1568 0.0000 0.0000
1.5739 2.0257 1.5337
1.5739 -2.0257 1.5337
```

***

DFT (PBE) results for a relaxed Th3Ga2Fe crystal.

Its formation energy is -1.507 eV/f.u. The calculation puts the total DFT energy (no corrections) at -6.3805 eV/atom. As for the total moment: 0.00 μB/atom. The density of states at the Fermi level is 1.029 states/eV/atom. The calculation puts the energy above the lowest structure with this stoichiometry at 0.097 eV per atom.

```
Th3Ga2Fe
1.0
8.1343 -2.4283 0.0000
8.1343 2.4283 0.0000
-0.0071 0.0000 3.7550
Th Ga Fe
3 2 1
Cartesian
0.0000 0.0000 0.0000
5.9471 0.0000 1.8812
10.3143 0.0000 1.8739
3.2789 0.0000 0.0005
12.9826 0.0000 3.7545
8.1343 0.0000 0.0000
```

***

DFT (PBE) results for a relaxed Hf2SiAu2 crystal.

The calculation puts the total DFT energy (no corrections) at -6.6059 eV/atom. As for the total moment: 0.00 μB/atom. The density of states at the Fermi level is 0.860 states/eV/atom. The calculation puts the energy above the lowest structure with this stoichiometry at 0.090 eV per atom.

```
Hf2SiAu2
1.0
7.1951 0.0000 0.0000
0.0000 7.1951 0.0000
0.0000 0.0000 3.9354
Hf Si Au
4 2 4
Cartesian
1.1773 2.4202 0.0000
2.4202 6.0178 0.0000
4.7749 1.1773 0.0000
6.0178 4.7749 0.0000
0.0000 0.0000 0.0000
3.5976 3.5976 0.0000
0.9966 4.5941 1.9677
2.6010 0.9966 1.9677
4.5941 6.1986 1.9677
6.1986 2.6010 1.9677
```

***

DFT (PBE) results for a relaxed Tb5Pm2Pr12 crystal.

Its formation energy is 1.770 eV/f.u. The calculation puts the total DFT energy (no corrections) at -4.6440 eV/atom. As for the total moment: 0.00 μB/atom. The density of states at the Fermi level is 1.395 states/eV/atom.

```
Tb5Pm2Pr12
1.0
9.1096 -5.9306 0.0000
9.1096 5.9306 0.0000
-1.3721 0.0000 6.1553
Tb Pm Pr
5 2 12
Cartesian
0.0000 0.0000 0.0000
3.8359 0.0000 0.3057
4.9892 0.0000 3.9571
11.8578 0.0000 2.1982
13.0112 0.0000 5.8497
8.4235 3.2279 3.0777
8.4235 -3.2279 3.0777
5.0922 2.8593 1.8462
1.5356 0.0000 3.0646
6.0054 2.9645 5.4442
10.8417 2.9645 0.7111
7.7799 0.0000 1.3947
11.7548 2.8593 4.3091
5.0922 -2.8593 1.8462
9.0672 0.0000 4.7606
6.0054 -2.9645 5.4442
10.8417 -2.9645 0.7111
15.3115 0.0000 3.0907
11.7548 -2.8593 4.3091
```

***

DFT (PBE) results for a relaxed LaLuGe2 crystal.

Its formation energy is -2.734 eV/f.u. The calculation puts the total DFT energy (no corrections) at -5.3543 eV/atom. As for the total moment: 0.00 μB/atom. The density of states at the Fermi level is 0.582 states/eV/atom.

```
LaLuGe2
1.0
2.3245 1.3421 5.5133
-2.3245 1.3421 5.5133
0.0000 -2.6841 5.5133
La Lu Ge
1 1 2
Cartesian
0.0000 0.0000 0.0000
0.0000 0.0000 8.2700
0.0000 0.0000 3.8950
0.0000 0.0000 12.6450
```